--- one ---
Density functional theory data (GGA-PBE) for a geometry-optimized CaTlOF2 structure.

a b c (Å): 4.4016 4.4016 4.7620
angles (deg): 90.00 90.00 90.00
Each line ends with the local moment (μB).
Element x y z (fractional)
1 F 0.5000 0.0000 0.0000  0.01
2 O 0.0000 0.0000 0.5000  0.73
3 Ca 0.0000 0.0000 0.0000  -0.01
4 F 0.0000 0.5000 0.0000  0.01
5 Tl 0.5000 0.5000 0.5000  0.07

Properties
DOS(E_F) ... 0.52 states/eV per atom

---

--- two ---
Density functional theory data (GGA-PBE) for a geometry-optimized CaTlOF2 structure.

a b c (Å): 4.6453 4.6453 4.4286
angles (deg): 90.00 90.00 90.00
Element x y z (fractional)
1 O 0.0000 0.0000 0.5000
2 F 0.0000 0.5000 0.0000
3 Tl 0.0000 0.0000 0.0000
4 F 0.5000 0.0000 0.0000
5 Ca 0.5000 0.5000 0.5000

Properties
DOS(E_F) ... 0.14 states/eV per atom

---

On energetic grounds, one is preferred over the next structure by 47.1 kJ/mol of atoms.